## P
Mg2AlInH | GGA-PBE | relaxed

The density of states at the Fermi level comes out at 1.1 states/eV/cell.

The space group is P4/mmm (No. 123) and the conventional cell measures 4.3516, 4.3516 and 4.5177 Å, with angles of 90.00, 90.00 and 90.00 degrees. Symmetry generates all atoms from Mg at (0.0000, 0.5000, 0.0000), Al at (0.0000, 0.0000, 0.5000), In at (0.5000, 0.5000, 0.5000) and H at (0.0000, 0.0000, 0.0000).

***

## Q
Mg2AlInH | GGA-PBE | relaxed

The density of states at the Fermi level comes out at 1.4 states/eV/cell.

The space group is P4/mmm (No. 123) and the conventional cell measures 5.4126, 5.4126 and 5.3163 Å, with angles of 90.00, 90.00 and 90.00 degrees. Symmetry generates all atoms from Mg at (0.0000, 0.5000, 0.0000), Al at (0.0000, 0.0000, 0.5000), In at (0.0000, 0.0000, 0.0000) and H at (0.5000, 0.5000, 0.5000).

***

So which one wins? Going from most stable to least: P, Q.

***

## P
AlHIr2 | GGA-PBE | relaxed

The density of states at the Fermi level comes out at 13.4 states/eV/cell.

The space group is I-42d (No. 122) and the conventional cell measures 6.0503, 6.0503 and 5.1256 Å, with angles of 90.00, 90.00 and 90.00 degrees. Symmetry generates all atoms from Al at (0.0000, 0.0000, 0.0000), H at (0.0000, 0.0000, 0.5000) and Ir at (0.1576, 0.2500, 0.6250).

***

## Q
AlHIr2 | GGA-PBE | relaxed

The density of states at the Fermi level comes out at 13.3 states/eV/cell.

The space group is Fm-3m (No. 225) and the conventional cell measures 5.7834, 5.7834 and 5.7834 Å, with angles of 90.00, 90.00 and 90.00 degrees. Symmetry generates all atoms from Al at (0.0000, 0.0000, 0.0000), H at (0.0000, 0.0000, 0.5000) and Ir at (0.2500, 0.2500, 0.2500).

***

So which one wins? Going from most stable to least: P, Q.

***

## P
Al3HIr | GGA-PBE | relaxed

The density of states at the Fermi level comes out at 2.2 states/eV/cell.

The space group is Pm-3m (No. 221) and the conventional cell measures 4.7286, 4.7286 and 4.7286 Å, with angles of 90.00, 90.00 and 90.00 degrees. Symmetry generates all atoms from Al at (0.0000, 0.0000, 0.5000), H at (0.5000, 0.5000, 0.5000) and Ir at (0.0000, 0.0000, 0.0000).

***

## Q
Al3HIr | GGA-PBE | relaxed

The density of states at the Fermi level comes out at 2.3 states/eV/cell.

The space group is Pm-3m (No. 221) and the conventional cell measures 3.9156, 3.9156 and 3.9156 Å, with angles of 90.00, 90.00 and 90.00 degrees. Symmetry generates all atoms from Al at (0.0000, 0.0000, 0.5000), H at (0.0000, 0.0000, 0.0000) and Ir at (0.5000, 0.5000, 0.5000).

***

So which one wins? Going from most stable to least: Q, P.

***

## P
Mn2AlHIr | GGA-PBE | relaxed

The density of states at the Fermi level comes out at 2.7 states/eV/cell.

The space group is P4/mmm (No. 123) and the conventional cell measures 3.6687, 3.6687 and 4.0701 Å, with angles of 90.00, 90.00 and 90.00 degrees. Symmetry generates all atoms from Mn at (0.0000, 0.5000, 0.0000), Al at (0.0000, 0.0000, 0.5000), H at (0.0000, 0.0000, 0.0000) and Ir at (0.5000, 0.5000, 0.5000).

***

## Q
Mn2AlHIr | GGA-PBE | relaxed

The density of states at the Fermi level comes out at 2.4 states/eV/cell.

The space group is P4/mmm (No. 123) and the conventional cell measures 3.7774, 3.7774 and 3.8988 Å, with angles of 90.00, 90.00 and 90.00 degrees. Symmetry generates all atoms from Mn at (0.0000, 0.5000, 0.0000), Al at (0.0000, 0.0000, 0.5000), H at (0.5000, 0.5000, 0.0000) and Ir at (0.5000, 0.5000, 0.5000).

***

So which one wins? Going from most stable to least: Q, P.

***

## P
Ta2AlHIr | GGA-PBE | relaxed

The density of states at the Fermi level comes out at 2.3 states/eV/cell.

The space group is P4/mmm (No. 123) and the conventional cell measures 4.1008, 4.1008 and 4.0337 Å, with angles of 90.00, 90.00 and 90.00 degrees. Symmetry generates all atoms from Ta at (0.0000, 0.5000, 0.0000), Al at (0.0000, 0.0000, 0.5000), H at (0.5000, 0.5000, 0.0000) and Ir at (0.5000, 0.5000, 0.5000).

***

## Q
Ta2AlHIr | GGA-PBE | relaxed

The density of states at the Fermi level comes out at 3.3 states/eV/cell.

The space group is P4/mmm (No. 123) and the conventional cell measures 3.9806, 3.9806 and 4.2689 Å, with angles of 90.00, 90.00 and 90.00 degrees. Symmetry generates all atoms from Ta at (0.0000, 0.5000, 0.0000), Al at (0.0000, 0.0000, 0.5000), H at (0.0000, 0.0000, 0.0000) and Ir at (0.5000, 0.5000, 0.5000).

***

So which one wins? Going from most stable to least: P, Q.

***

## P
KAl2H | GGA-PBE | relaxed

The density of states at the Fermi level comes out at 10.4 states/eV/cell.

The space group is Fd-3m (No. 227, origin choice 2) and the conventional cell measures 8.7287, 8.7287 and 8.7287 Å, with angles of 90.00, 90.00 and 90.00 degrees. Symmetry generates all atoms from K at (0.1250, 0.1250, 0.1250), Al at (0.0000, 0.0000, 0.5000) and H at (0.1250, 0.1250, 0.6250).

***

## Q
KAl2H | GGA-PBE | relaxed

The density of states at the Fermi level comes out at 13.1 states/eV/cell.

The space group is Fm-3m (No. 225) and the conventional cell measures 7.2812, 7.2812 and 7.2812 Å, with angles of 90.00, 90.00 and 90.00 degrees. Symmetry generates all atoms from K at (0.0000, 0.0000, 0.0000), Al at (0.2500, 0.2500, 0.2500) and H at (0.0000, 0.0000, 0.5000).

***

So which one wins? Going from most stable to least: P, Q.

***

## P
K2AlH | GGA-PBE | relaxed

The density of states at the Fermi level comes out at 20.5 states/eV/cell.

The space group is Fm-3m (No. 225) and the conventional cell measures 8.1491, 8.1491 and 8.1491 Å, with angles of 90.00, 90.00 and 90.00 degrees. Symmetry generates all atoms from K at (0.2500, 0.2500, 0.2500), Al at (0.0000, 0.0000, 0.0000) and H at (0.0000, 0.0000, 0.5000).

***

## Q
K2AlH | GGA-PBE | relaxed

The density of states at the Fermi level comes out at 0.9 states/eV/cell.

The space group is I-42d (No. 122) and the conventional cell measures 7.8983, 7.8983 and 8.7735 Å, with angles of 90.00, 90.00 and 90.00 degrees. Symmetry generates all atoms from K at (0.1442, 0.2500, 0.1250), Al at (0.0000, 0.0000, 0.5000) and H at (0.0000, 0.0000, 0.0000).

***

So which one wins? Going from most stable to least: Q, P.

***

## P
La2AlH | GGA-PBE | relaxed

The density of states at the Fermi level comes out at 6.9 states/eV/cell.

The space group is I-42d (No. 122) and the conventional cell measures 5.5761, 5.5761 and 14.4665 Å, with angles of 90.00, 90.00 and 90.00 degrees. Symmetry generates all atoms from La at (0.1634, 0.2500, 0.1250), Al at (0.0000, 0.0000, 0.5000) and H at (0.0000, 0.0000, 0.0000).

***

## Q
La2AlH | GGA-PBE | relaxed

The density of states at the Fermi level comes out at 3.0 states/eV/cell.

The space group is Pmmm (No. 47) and the conventional cell measures 3.5106, 3.6905 and 7.5827 Å, with angles of 90.00, 90.00 and 90.00 degrees. Symmetry generates all atoms from La at (0.0000, 0.0000, 0.2352), Al at (0.5000, 0.5000, 0.5000) and H at (0.5000, 0.0000, 0.0000).

***

So which one wins? Going from most stable to least: Q, P.